Compound: LiUPaS4
Source: the Alexandria database
Functional: PBE
Structure: relaxed

```
14
Lattice="8.016 0.000 0.000 4.008 6.867 0.127 4.008 2.213 6.502" Properties=species:S:1:pos:R:3 pbc="T T T"
S 4.008 2.254 1.774
Pa 2.004 1.106 3.251
S 12.024 6.826 4.855
S 8.016 6.917 4.921
S 5.917 3.307 4.857
S 5.917 5.774 1.772
S 10.115 3.307 4.857
Li 8.016 4.479 5.713
Li 8.016 4.601 0.916
S 10.115 5.774 1.772
U 0.000 0.000 0.000
S 8.016 2.164 1.708
U 4.008 4.540 3.314
Pa 6.012 1.106 3.251
```

Summary:
- DFT total energy (eV per formula unit) = -49.39
- DOS(E_F) (states/eV/atom) = 1.195
- mass density (Mg/m³) = 5.64
- formation energy (no corrections) (eV/atom) = -1.454
- space group = Imma
- crystal system = orthorhombic